This record from Alexandria via LeMat-Bulk describes a crystal of Cs7Np3Cl12O6 relaxed with PBEsol. The functional is meta-GGA SCAN.

Values from the calculation:
Formation energy from raw total energies, meV per atom: -2373
DOS(E_F), states/eV/cell: 21.63
ρ, g/cm³: 4.326
M_tot, μB/f.u.: 4.000

Cell: 12.9208 12.9208 12.9208 Å, 109.47 109.47 109.47°
Atoms (fractional coordinates):
1 Cs 0.0000 0.2975 0.5000
2 Cs 0.0000 0.7975 0.5000
3 Cs 0.1250 0.7500 0.8750
4 Cs 0.2025 0.2025 0.2025
5 Cs 0.2500 0.6250 0.3750
6 Cs 0.2975 0.5000 0.0000
7 Cs 0.3750 0.2500 0.6250
8 Cs 0.5000 0.0000 0.2975
9 Cs 0.5000 0.0000 0.7975
10 Cs 0.6250 0.3750 0.2500
11 Cs 0.7025 0.7025 0.7025
12 Cs 0.7500 0.8750 0.1250
13 Cs 0.7975 0.5000 0.0000
14 Cs 0.8750 0.1250 0.7500
15 Np 0.1250 0.8750 0.2500
16 Np 0.2500 0.1250 0.8750
17 Np 0.3750 0.6250 0.7500
18 Np 0.6250 0.7500 0.3750
19 Np 0.7500 0.3750 0.6250
20 Np 0.8750 0.2500 0.1250
21 Cl 0.0237 0.9534 0.8123
22 Cl 0.0466 0.3589 0.0703
23 Cl 0.0703 0.0466 0.3589
24 Cl 0.1411 0.1877 0.7114
25 Cl 0.1877 0.7114 0.1411
26 Cl 0.2114 0.6877 0.6411
27 Cl 0.2886 0.9297 0.4763
28 Cl 0.3123 0.4534 0.5237
29 Cl 0.3589 0.0703 0.0466
30 Cl 0.4297 0.7886 0.9763
31 Cl 0.4534 0.5237 0.3123
32 Cl 0.4763 0.2886 0.9297
33 Cl 0.5237 0.3123 0.4534
34 Cl 0.5466 0.5703 0.8589
35 Cl 0.5703 0.8589 0.5466
36 Cl 0.6411 0.2114 0.6877
37 Cl 0.6877 0.6411 0.2114
38 Cl 0.7114 0.1411 0.1877
39 Cl 0.7886 0.9763 0.4297
40 Cl 0.8123 0.0237 0.9534
41 Cl 0.8589 0.5466 0.5703
42 Cl 0.9297 0.4763 0.2886
43 Cl 0.9534 0.8123 0.0237
44 Cl 0.9763 0.4297 0.7886
45 O 0.0042 0.7542 0.2500
46 O 0.2458 0.9958 0.2500
47 O 0.2500 0.0042 0.7542
48 O 0.2500 0.2458 0.9958
49 O 0.2542 0.5042 0.7500
50 O 0.4958 0.7458 0.7500
51 O 0.5042 0.7500 0.2542
52 O 0.7458 0.7500 0.4958
53 O 0.7500 0.2542 0.5042
54 O 0.7500 0.4958 0.7458
55 O 0.7542 0.2500 0.0042
56 O 0.9958 0.2500 0.2458



This record from Alexandria via LeMat-Bulk describes a crystal of CsCl2O2 relaxed with PBEsol. The functional is meta-GGA SCAN.

Values from the calculation:
Formation energy from raw total energies, meV per atom: 76
DOS(E_F), states/eV/cell: 3.36
ρ, g/cm³: 3.599
M_tot, μB/f.u.: 0.000

Cell: 4.4283 4.4283 11.0977 Å, 90.00 90.00 90.00°
Atoms (fractional coordinates):
1 Cs 0.0000 0.0000 0.0000
2 Cs 0.5000 0.5000 0.5000
3 Cl 0.0000 0.0000 0.2774
4 Cl 0.0000 0.0000 0.7226
5 Cl 0.5000 0.5000 0.2226
6 Cl 0.5000 0.5000 0.7774
7 O 0.0000 0.5000 0.2500
8 O 0.0000 0.5000 0.7500
9 O 0.5000 0.0000 0.2500
10 O 0.5000 0.0000 0.7500



ρ of number 2 (CsCl2O2)?
3.599 g/cm³



Which of these has the highest formation energy from raw total energies?
CsCl2O2